Here is a relaxed BeZnP2 crystal from Alexandria via LeMat-Bulk. Energies are from PBE.

Calculated values
formation enthalpy at 0 K	0.25	eV/atom
crystal system	orthorhombic
V	66.46	Å³ per cell

Structure (POSCAR):
```
BeZnP2
1.0
2.7148 0.0000 0.0000
0.0000 3.5917 0.0000
0.0000 0.0000 6.8154
Be Zn P
1 1 2
direct
0.0000 0.0000 0.0000
0.5000 0.5000 0.7882
0.0000 0.0000 0.6356
0.5000 0.5000 0.1413
```

Here is a relaxed BeZn2P crystal from Alexandria via LeMat-Bulk. Energies are from PBE.

Calculated values
formation enthalpy at 0 K	0.29	eV/atom
crystal system	monoclinic
V	56.29	Å³ per cell

Structure (POSCAR):
```
BeZn2P
1.0
2.3671 -4.9113 0.0000
2.3671 4.9113 0.0000
-1.3727 0.0000 2.4209
Be Zn P
1 2 1
direct
0.0000 0.0000 0.0000
0.0000 0.5000 0.0000
0.5000 0.0000 0.0000
0.5000 0.5000 0.0000
```